[1]
TiAl2SnCl: relaxed, PBEsol.

Structure (CIF):
```
data_TiAl2SnCl
_chemical_formula_sum 'Ti1 Al2 Sn1 Cl1'
_symmetry_space_group_name_H-M 'P 1'
_symmetry_Int_Tables_number 1
_symmetry_space_group_name_Hall 'P 1'
_cell_length_a 5.235
_cell_length_b 5.235
_cell_length_c 5.194
_cell_angle_alpha 90.00
_cell_angle_beta 90.00
_cell_angle_gamma 90.00
loop_
_atom_site_label
_atom_site_type_symbol
_atom_site_fract_x
_atom_site_fract_y
_atom_site_fract_z
_atom_site_occupancy
Ti1 Ti 0.000 0.000 0.000 1
Al1 Al 0.000 0.500 0.500 1
Al2 Al 0.500 0.000 0.500 1
Sn1 Sn 0.500 0.500 0.500 1
Cl1 Cl 0.500 0.500 0.000 1
```

Output
**Calculated total energy**: -3.633 eV per atom
**Space-group type**: P4/mmm (123)

=====

[2]
SrAl2Cl: relaxed, PBEsol.

Structure (CIF):
```
data_SrAl2Cl
_chemical_formula_sum 'Sr1 Al2 Cl1'
_symmetry_space_group_name_H-M 'P 1'
_symmetry_Int_Tables_number 1
_symmetry_space_group_name_Hall 'P 1'
_cell_length_a 5.313
_cell_length_b 5.313
_cell_length_c 5.313
_cell_angle_alpha 60.00
_cell_angle_beta 60.00
_cell_angle_gamma 60.00
loop_
_atom_site_label
_atom_site_type_symbol
_atom_site_fract_x
_atom_site_fract_y
_atom_site_fract_z
_atom_site_occupancy
Sr1 Sr 0.000 0.000 0.000 1
Al1 Al 0.250 0.250 0.250 1
Al2 Al 0.750 0.750 0.750 1
Cl1 Cl 0.500 0.500 0.500 1
```

Output
**Energy above the most stable polymorph in this dataset**: 0.738 eV per atom
**Calculated total energy**: -2.834 eV per atom
**Space-group type**: Fm-3m (225)

=====

[3]
SrAl2Cl8: relaxed, PBEsol.

Structure (CIF):
```
data_SrAl2Cl8
_chemical_formula_sum 'Sr8 Al16 Cl64'
_symmetry_space_group_name_H-M 'P 1'
_symmetry_Int_Tables_number 1
_symmetry_space_group_name_Hall 'P 1'
_cell_length_a 11.415
_cell_length_b 19.842
_cell_length_c 11.545
_cell_angle_alpha 90.00
_cell_angle_beta 90.00
_cell_angle_gamma 90.00
loop_
_atom_site_label
_atom_site_type_symbol
_atom_site_fract_x
_atom_site_fract_y
_atom_site_fract_z
_atom_site_occupancy
Sr1 Sr 0.233 0.124 0.009 1
Sr2 Sr 0.233 0.376 0.509 1
Sr3 Sr 0.267 0.624 0.009 1
Sr4 Sr 0.267 0.876 0.509 1
Sr5 Sr 0.733 0.124 0.491 1
Sr6 Sr 0.733 0.376 0.991 1
Sr7 Sr 0.767 0.624 0.491 1
Sr8 Sr 0.767 0.876 0.991 1
Al1 Al 0.032 0.738 0.543 1
Al2 Al 0.032 0.762 0.043 1
Al3 Al 0.214 0.001 0.754 1
Al4 Al 0.214 0.499 0.254 1
Al5 Al 0.286 0.501 0.754 1
Al6 Al 0.286 0.999 0.254 1
Al7 Al 0.468 0.238 0.543 1
Al8 Al 0.468 0.262 0.043 1
Al9 Al 0.532 0.738 0.957 1
Al10 Al 0.532 0.762 0.457 1
Al11 Al 0.714 0.001 0.746 1
Al12 Al 0.714 0.499 0.246 1
Al13 Al 0.786 0.501 0.746 1
Al14 Al 0.786 0.999 0.246 1
Al15 Al 0.968 0.238 0.957 1
Al16 Al 0.968 0.262 0.457 1
Cl1 Cl 0.001 0.673 0.398 1
Cl2 Cl 0.001 0.827 0.898 1
Cl3 Cl 0.009 0.657 0.000 1
Cl4 Cl 0.009 0.843 0.500 1
Cl5 Cl 0.087 0.017 0.888 1
Cl6 Cl 0.087 0.483 0.388 1
Cl7 Cl 0.095 0.206 0.832 1
Cl8 Cl 0.095 0.294 0.332 1
Cl9 Cl 0.145 0.005 0.580 1
Cl10 Cl 0.145 0.495 0.080 1
Cl11 Cl 0.160 0.580 0.783 1
Cl12 Cl 0.160 0.920 0.283 1
Cl13 Cl 0.209 0.097 0.263 1
Cl14 Cl 0.209 0.403 0.763 1
Cl15 Cl 0.213 0.735 0.596 1
Cl16 Cl 0.213 0.765 0.096 1
Cl17 Cl 0.287 0.235 0.596 1
Cl18 Cl 0.287 0.265 0.096 1
Cl19 Cl 0.291 0.597 0.263 1
Cl20 Cl 0.291 0.903 0.763 1
Cl21 Cl 0.340 0.080 0.783 1
Cl22 Cl 0.340 0.420 0.283 1
Cl23 Cl 0.355 0.505 0.580 1
Cl24 Cl 0.355 0.995 0.080 1
Cl25 Cl 0.405 0.706 0.832 1
Cl26 Cl 0.405 0.794 0.332 1
Cl27 Cl 0.413 0.517 0.888 1
Cl28 Cl 0.413 0.983 0.388 1
Cl29 Cl 0.491 0.157 0.000 1
Cl30 Cl 0.491 0.343 0.500 1
Cl31 Cl 0.499 0.173 0.398 1
Cl32 Cl 0.499 0.327 0.898 1
Cl33 Cl 0.501 0.673 0.102 1
Cl34 Cl 0.501 0.827 0.602 1
Cl35 Cl 0.509 0.657 0.500 1
Cl36 Cl 0.509 0.843 0.000 1
Cl37 Cl 0.587 0.017 0.612 1
Cl38 Cl 0.587 0.483 0.112 1
Cl39 Cl 0.595 0.206 0.668 1
Cl40 Cl 0.595 0.294 0.168 1
Cl41 Cl 0.645 0.005 0.920 1
Cl42 Cl 0.645 0.495 0.420 1
Cl43 Cl 0.660 0.580 0.717 1
Cl44 Cl 0.660 0.920 0.217 1
Cl45 Cl 0.709 0.097 0.237 1
Cl46 Cl 0.709 0.403 0.737 1
Cl47 Cl 0.713 0.735 0.904 1
Cl48 Cl 0.713 0.765 0.404 1
Cl49 Cl 0.787 0.235 0.904 1
Cl50 Cl 0.787 0.265 0.404 1
Cl51 Cl 0.791 0.597 0.237 1
Cl52 Cl 0.791 0.903 0.737 1
Cl53 Cl 0.840 0.080 0.717 1
Cl54 Cl 0.840 0.420 0.217 1
Cl55 Cl 0.855 0.505 0.920 1
Cl56 Cl 0.855 0.995 0.420 1
Cl57 Cl 0.905 0.706 0.668 1
Cl58 Cl 0.905 0.794 0.168 1
Cl59 Cl 0.913 0.517 0.612 1
Cl60 Cl 0.913 0.983 0.112 1
Cl61 Cl 0.991 0.157 0.500 1
Cl62 Cl 0.991 0.343 0.000 1
Cl63 Cl 0.999 0.173 0.102 1
Cl64 Cl 0.999 0.327 0.602 1
```

Output
**Energy above the most stable polymorph in this dataset**: 0.000 eV per atom
**Calculated total energy**: -4.167 eV per atom
**Space-group type**: Pbca (61)

=====

[4]
Sr2AlCl: relaxed, PBEsol.

Structure (CIF):
```
data_Sr2AlCl
_chemical_formula_sum 'Sr2 Al1 Cl1'
_symmetry_space_group_name_H-M 'P 1'
_symmetry_Int_Tables_number 1
_symmetry_space_group_name_Hall 'P 1'
_cell_length_a 8.554
_cell_length_b 8.554
_cell_length_c 8.554
_cell_angle_alpha 28.47
_cell_angle_beta 28.47
_cell_angle_gamma 28.47
loop_
_atom_site_label
_atom_site_type_symbol
_atom_site_fract_x
_atom_site_fract_y
_atom_site_fract_z
_atom_site_occupancy
Sr1 Sr 0.247 0.247 0.247 1
Sr2 Sr 0.753 0.753 0.753 1
Al1 Al 0.000 0.000 0.000 1
Cl1 Cl 0.500 0.500 0.500 1
```

Output
**Energy above the most stable polymorph in this dataset**: 0.057 eV per atom
**Calculated total energy**: -3.306 eV per atom
**Space-group type**: R-3m (166)

=====

Let's list ΔE_f (raw) in order: 922; 174; -1795; -860 meV/atom.